This record from the Alexandria database describes Mn2TlNiRh at its PBEsol-relaxed geometry. The functional is SCAN.

a = 4.372 Å, b = 4.372 Å, c = 4.676 Å
α = 90.00°, β = 90.00°, γ = 90.00°
Space group P4/mmm (No. 123)
Asymmetric unit:
Mn: 0.000 0.500 0.000 x2
Tl: 0.000 0.000 0.500 x1
Ni: 0.000 0.000 0.000 x1
Rh: 0.500 0.500 0.500 x1

Total energy (eV per atom): -31.18
Total magnetization (Bohr magnetons per cell): 8.7
Volume (Å³/atom): 17.9
DFT formation energy (eV per atom): 0.582